Density functional theory data (PBE) for a relaxed Y2TmNi crystal.

a b c (Å): 6.276 6.276 9.609
angles (deg): 90.00 90.00 146.60
Positions (direct):
Y 0.136 0.864 0.571
Y 0.136 0.864 0.929
Y 0.864 0.136 0.071
Y 0.864 0.136 0.429
Tm 0.416 0.584 0.750
Tm 0.584 0.416 0.250
Ni 0.258 0.742 0.250
Ni 0.742 0.258 0.750

Properties
- Formation energy: -83 kJ/mol of formula units
- Offset from the most stable computed form: 34 meV per atom
- Crystal system: orthorhombic
- Space group: Cmcm
- Total moment: 0.0 μB per cell
- Density: 6.463 g/cm3

=====

Density functional theory data (PBE) for a relaxed Tm6Ga2Pt crystal.

a b c (Å): 6.010 8.187 10.917
angles (deg): 90.00 120.00 90.00
Positions (direct):
Tm 0.063 0.173 0.441
Tm 0.063 0.327 0.941
Tm 0.332 0.679 0.441
Tm 0.332 0.821 0.941
Tm 0.391 0.033 0.270
Tm 0.391 0.467 0.770
Tm 0.609 0.533 0.230
Tm 0.609 0.967 0.730
Tm 0.668 0.179 0.059
Tm 0.668 0.321 0.559
Tm 0.937 0.673 0.059
Tm 0.937 0.827 0.559
Ga 0.180 0.126 0.752
Ga 0.180 0.374 0.252
Ga 0.820 0.626 0.748
Ga 0.820 0.874 0.248
Pt 0.000 0.000 0.000
Pt 0.000 0.500 0.500

Properties
- Formation energy: -430 kJ/mol of formula units
- Offset from the most stable computed form: 80 meV per atom
- Crystal system: monoclinic
- Space group: P2_1/c
- Total moment: 0.0 μB per cell
- Density: 9.625 g/cm3

=====

Density functional theory data (PBE) for a relaxed Pm5Pr6Nd crystal.

a b c (Å): 9.739 9.739 9.739
angles (deg): 148.93 115.35 73.46
Positions (direct):
Pm 0.000 0.000 0.000
Pm 0.167 0.667 0.500
Pm 0.333 0.333 0.000
Pm 0.667 0.667 0.000
Pm 0.833 0.333 0.500
Pr 0.083 0.833 0.250
Pr 0.249 0.500 0.749
Pr 0.416 0.167 0.250
Pr 0.584 0.833 0.750
Pr 0.751 0.500 0.251
Pr 0.917 0.167 0.750
Nd 0.500 0.000 0.500

Properties
- Formation energy: 14 kJ/mol of formula units
- Crystal system: orthorhombic
- Space group: Immm
- Total moment: 0.0 μB per cell
- Density: 6.713 g/cm3

=====

Density functional theory data (PBE) for a relaxed TlCd8Ag4 crystal.

a b c (Å): 7.649 7.649 7.649
angles (deg): 97.82 97.82 136.71
Positions (direct):
Tl 0.000 0.000 0.000
Cd 0.000 0.346 0.346
Cd 0.000 0.654 0.654
Cd 0.284 0.500 0.784
Cd 0.346 0.000 0.346
Cd 0.500 0.284 0.784
Cd 0.500 0.716 0.216
Cd 0.654 0.000 0.654
Cd 0.716 0.500 0.216
Ag 0.000 0.000 0.500
Ag 0.000 0.500 0.000
Ag 0.500 0.000 0.000
Ag 0.500 0.500 0.500

Properties
- Formation energy: -28 kJ/mol of formula units
- Crystal system: tetragonal
- Space group: I4/mmm
- Total moment: 0.0 μB per cell
- Density: 8.938 g/cm3